VASP calculation (GGA-PBE) on a relaxed structure of Pr2NpAs3Rh12.

Structure (POSCAR):
```
Pr2NpAs3Rh12
1.0
-4.9370 -4.4809 3.8383
1.6738 -7.5089 0.0194
2.5807 -2.7978 6.6857
As Np Rh Pr
3 1 12 2
Cartesian
0.8369 -3.7544 0.0097 As
1.2904 -1.3989 3.3428 As
-2.4685 -2.2405 1.9192 As
0.0000 0.0000 0.0000 Np
1.1552 -6.7948 7.3872 Rh
-1.3461 -5.4392 6.7695 Rh
2.2371 -7.0805 4.6995 Rh
-2.5127 -4.1923 3.3046 Rh
-2.9196 -7.7071 5.8439 Rh
0.7286 -5.6770 1.4321 Rh
0.6637 -9.3484 3.7739 Rh
-1.4111 -9.1106 9.1113 Rh
1.1733 -3.3671 4.7007 Rh
-1.8557 -11.4205 5.8428 Rh
1.8303 -10.5953 7.2388 Rh
-1.8377 -7.9928 3.1562 Rh
-0.4112 -8.9095 6.3524 Pr
-0.2713 -5.8781 4.1910 Pr
```

Its crystal system is trigonal. The calculation puts the formation energy at -0.110 eV/atom.